No. 1
This record from Alexandria via LeMat-Bulk describes a geometry-optimized K2IF structure. The functional is PBE.

Values from the calculation:
Its energy above the most stable polymorph in this dataset is 1.23 kcal/mol of atoms. The calculation puts the magnetic moment at 0.000 μB per formula unit. The uncorrected formation energy is -2.044 eV per atom. The calculation puts the density of states at the Fermi level at 0.0 states/eV/f.u.

POSCAR file:
```
K2IF
1.0
7.855 0.000 0.000
0.000 7.855 0.000
3.927 3.927 4.537
K I F
4 2 2
Direct
0.375 0.473 0.750
0.527 0.125 0.250
0.223 0.625 0.250
0.875 0.777 0.750
0.000 0.000 0.000
0.750 0.250 0.500
0.500 0.500 0.000
0.250 0.750 0.500
```

***

No. 2
This record from Alexandria via LeMat-Bulk describes a geometry-optimized YSiBr structure. The functional is PBE.

Values from the calculation:
The calculation puts the magnetic moment at 0.000 μB per formula unit. The uncorrected formation energy is 0.055 eV per atom. The calculation puts the density of states at the Fermi level at 3.4 states/eV/f.u.

POSCAR file:
```
YSiBr
1.0
-3.612 3.107 -0.275
-4.381 -1.527 -1.119
-3.434 -0.034 3.314
Br Si Y
1 1 1
Direct
0.750 0.750 0.750
0.000 0.000 0.000
0.500 0.500 0.500
```

***

No. 3
This record from Alexandria via LeMat-Bulk describes a geometry-optimized CeSc2AlPt4 structure. The functional is PBE.

Values from the calculation:
For the formation energy, the calculation gives -1128 meV per atom. The calculation puts the magnetic moment at 0.282 μB per formula unit. The calculation puts the density of states at the Fermi level at 8.0 states/eV/f.u.

POSCAR file:
```
CeSc2AlPt4
1.0
-0.413 4.524 -0.171
-1.646 2.269 3.579
7.081 3.089 4.184
Pt Sc Ce Al
4 2 1 1
Direct
0.132 0.132 0.605
0.603 0.603 0.191
0.868 0.868 0.395
0.397 0.397 0.809
0.759 0.759 0.722
0.241 0.241 0.278
0.000 0.000 0.000
0.500 0.500 0.500
```

***

No. 4
This record from Alexandria via LeMat-Bulk describes a geometry-optimized ThI4N2 structure. The functional is PBE.

Values from the calculation:
The calculation puts the magnetic moment at 1.833 μB per formula unit. The uncorrected formation energy is 0.775 eV per atom. The calculation puts the density of states at the Fermi level at 2.9 states/eV/f.u.

POSCAR file:
```
ThI4N2
1.0
5.611 0.000 1.018
2.713 4.912 1.018
1.300 0.767 8.811
I N Th
4 2 1
Direct
0.121 0.121 0.637
0.315 0.315 0.054
0.685 0.685 0.946
0.879 0.879 0.363
0.801 0.801 0.596
0.199 0.199 0.404
0.000 0.000 0.000
```

***

No. 5
This record from Alexandria via LeMat-Bulk describes a geometry-optimized Dy8Tc2Pt structure. The functional is PBE.

Values from the calculation:
For the formation energy, the calculation gives -230 meV per atom. The calculation puts the magnetic moment at 0.000 μB per formula unit. The calculation puts the density of states at the Fermi level at 9.7 states/eV/f.u.

POSCAR file:
```
Dy8Tc2Pt
1.0
5.794 -0.011 -1.019
-1.972 6.786 -2.889
-0.135 -0.154 7.631
Tc Pt Dy
2 1 8
Direct
0.479 0.693 0.311
0.479 0.311 0.693
0.137 0.996 0.996
0.991 0.792 0.219
0.389 0.666 0.927
0.586 0.083 0.347
0.389 0.927 0.666
0.991 0.219 0.792
0.183 0.365 0.365
0.586 0.347 0.083
0.791 0.634 0.634
```

***

No. 6
This record from Alexandria via LeMat-Bulk describes a geometry-optimized RbSn12Pd4 structure. The functional is PBE.

Values from the calculation:
For the formation energy, the calculation gives -268 meV per atom. The calculation puts the magnetic moment at 0.000 μB per formula unit. The calculation puts the density of states at the Fermi level at 7.9 states/eV/f.u.

POSCAR file:
```
RbSn12Pd4
1.0
8.307 0.000 0.000
-2.769 7.831 0.000
-2.769 -3.916 6.782
Sn Pd Rb
12 4 1
Direct
0.346 0.506 0.161
0.346 0.185 0.839
0.161 0.346 0.506
0.654 0.494 0.839
0.839 0.654 0.494
0.839 0.346 0.185
0.494 0.839 0.654
0.506 0.161 0.346
0.185 0.839 0.346
0.815 0.161 0.654
0.654 0.815 0.161
0.161 0.654 0.815
0.500 0.000 0.000
0.500 0.500 0.500
0.000 0.500 0.000
0.000 0.000 0.500
0.000 0.000 0.000
```